Density functional theory data (PBE+U) for crystalline Ac2PuFeO6 at its relaxed geometry.

Summary:
D(E_F)	0.033	states/eV/atom
E_tot	-8.62	eV per atom

a b c (Å): 10.277 5.964 6.051
angles (deg): 90.00 124.77 90.00
Space group C2/m (No. 12)
One atom of each set of equivalent atoms:
1 Ac 0.247 0.000 0.227 (multiplicity 4)
2 Pu 0.000 0.000 0.500 (multiplicity 2)
3 Fe 0.000 0.500 0.000 (multiplicity 2)
4 O 0.063 0.250 0.815 (multiplicity 8)
5 O 0.245 0.500 0.352 (multiplicity 4)